An optimized crystal structure of Ce15Al4Hg. Source: the Alexandria database, functional PBE.

Output
**ΔH_f (0 K)**: -0.145 eV per atom
**Calculated total energy**: -5.3585 eV per atom
**SG**: P4/mmm, No. 123
**Size of the total moment**: 12.70 μB/cell
**Volume**: 518 Å³/f.u.

Unit cell a=4.6928 b=4.6928 c=23.5052 alpha=90.00 beta=90.00 gamma=90.00
With the nearest neighbours (Å) after each atom.
Fractional coordinates of all 20 atoms:
Ce  0.0000  0.0000  0.0000  4 Hg 3.32, 8 Ce 3.41
Ce  0.0000  0.0000  0.2031  8 Ce 3.29-3.30, 4 Al 3.32
Ce  0.0000  0.0000  0.4014  8 Ce 3.30-3.31, 4 Al 3.32
Ce  0.0000  0.0000  0.5986  8 Ce 3.30-3.31, 4 Al 3.32
Ce  0.0000  0.0000  0.7969  8 Ce 3.29-3.30, 4 Al 3.32
Ce  0.0000  0.5000  0.1050  2 Al 3.28, 8 Ce 3.29-3.41, 2 Hg 3.41
Ce  0.0000  0.5000  0.3019  8 Ce 3.30-3.32, 4 Al 3.30-3.31
Ce  0.0000  0.5000  0.5000  8 Ce 3.30-3.32, 4 Al 3.31
Ce  0.0000  0.5000  0.6981  8 Ce 3.30-3.32, 4 Al 3.30-3.31
Ce  0.0000  0.5000  0.8950  2 Al 3.28, 8 Ce 3.29-3.41, 2 Hg 3.41
Ce  0.5000  0.0000  0.1050  2 Al 3.28, 8 Ce 3.29-3.41, 2 Hg 3.41
Ce  0.5000  0.0000  0.3019  8 Ce 3.30-3.32, 4 Al 3.30-3.31
Ce  0.5000  0.0000  0.5000  8 Ce 3.30-3.32, 4 Al 3.31
Ce  0.5000  0.0000  0.6981  8 Ce 3.30-3.32, 4 Al 3.30-3.31
Ce  0.5000  0.0000  0.8950  2 Al 3.28, 8 Ce 3.29-3.41, 2 Hg 3.41
Al  0.5000  0.5000  0.2023  12 Ce 3.28-3.32
Al  0.5000  0.5000  0.4009  12 Ce 3.30-3.32
Al  0.5000  0.5000  0.5991  12 Ce 3.30-3.32
Al  0.5000  0.5000  0.7977  12 Ce 3.28-3.32
Hg  0.5000  0.5000  0.0000  12 Ce 3.32-3.41

An optimized crystal structure of SrBe3Pd. Source: the Alexandria database, functional PBE.

Output
**ΔH_f (0 K)**: 0.036 eV per atom
**Calculated total energy**: -3.5746 eV per atom
**Polymorph energy (0 for the lowest one)**: 0.00 eV/f.u.
**SG**: Pm-3m, No. 221
**Size of the total moment**: 0.00 μB/cell
**Volume**: 87 Å³/f.u.

Unit cell a=4.4261 b=4.4261 c=4.4261 alpha=90.00 beta=90.00 gamma=90.00
With the nearest neighbours (Å) after each atom.
Fractional coordinates of all 5 atoms:
Sr  0.0000  0.0000  0.0000  12 Be 3.13
Be  0.0000  0.5000  0.5000  2 Pd 2.21
Be  0.5000  0.0000  0.5000  2 Pd 2.21
Be  0.5000  0.5000  0.0000  2 Pd 2.21
Pd  0.5000  0.5000  0.5000  6 Be 2.21

An optimized crystal structure of HfGaAg. Source: the Alexandria database, functional PBE.

Output
**ΔH_f (0 K)**: 0.059 eV per atom
**Calculated total energy**: -5.2183 eV per atom
**SG**: P4/nmm, No. 129
**Size of the total moment**: 0.00 μB/cell
**Volume**: 59 Å³/f.u.

Unit cell a=3.5797 b=3.5797 c=9.1384 alpha=90.00 beta=90.00 gamma=90.00
With the nearest neighbours (Å) after each atom.
Fractional coordinates of all 6 atoms:
Hf  0.2500  0.2500  0.2504  4 Ga 2.91, 5 Ag 2.95-3.04
Hf  0.7500  0.7500  0.7496  4 Ga 2.91, 5 Ag 2.95-3.04
Ga  0.2500  0.7500  0.0000  4 Ga 2.53
Ga  0.7500  0.2500  0.0000  4 Ga 2.53
Ag  0.2500  0.2500  0.5829  4 Ag 2.95, 5 Hf 2.95-3.04
Ag  0.7500  0.7500  0.4171  4 Ag 2.95, 5 Hf 2.95-3.04